Entry 1:
A geometry-optimized LaYEr structure, computed with PBE-GGA.

Cell lengths 3.6197, 3.6197, 8.0536 Å; angles 102.99, 102.99, 90.00 degrees
With the nearest neighbours (Å) after each atom.
Positions (direct):
La  0.3319  0.3319  0.6638  4 Er 3.62, 4 La 3.62, 4 Y 3.66
Y  0.0037  0.0037  0.0073  4 Er 3.55, 4 Y 3.62, 4 La 3.66
Er  0.6644  0.6644  0.3288  4 Y 3.55, 4 La 3.62, 4 Er 3.62

Energy above the most stable polymorph in this dataset = 0.000 eV/f.u.
M_tot = 0.00 μB per formula unit
N(E_F) = 4.54 states/eV per cell
Energy of formation from the pure elements = 3.19 kJ/mol of atoms



Entry 2:
A geometry-optimized La5Y5Er2 structure, computed with PBE-GGA.

Cell lengths 5.7830, 9.1350, 9.1220 Å; angles 101.63, 71.52, 71.55 degrees
With the nearest neighbours (Å) after each atom.
Positions (direct):
Y  0.3297  0.2956  0.0450  3 Er 3.32-3.54, 2 Y 3.38-3.53, 1 La 3.69
Y  0.3317  0.0444  0.2922  3 La 3.34-3.61, 2 Y 3.38-3.53
Y  0.0000  0.5000  0.5000  6 La 3.55-3.74, 4 Y 3.74-3.75, 4 Er 3.76
Y  0.6703  0.7044  0.9550  3 Er 3.32-3.54, 2 Y 3.38-3.53, 1 La 3.69
Y  0.6683  0.9556  0.7078  3 La 3.34-3.61, 2 Y 3.38-3.53
La  0.6649  0.2143  0.4559  2 Er 3.30-3.47, 3 Y 3.34-3.61
La  0.3351  0.7857  0.5441  2 Er 3.30-3.47, 3 Y 3.34-3.61
La  0.9935  0.2554  0.7576  4 La 3.52-3.86, 7 Y 3.55-3.82, 3 Er 3.72-3.75
La  0.0000  0.0000  0.0000  4 La 3.52-3.75, 8 Y 3.77-3.80, 2 Er 3.78
La  0.0065  0.7446  0.2424  4 La 3.52-3.86, 7 Y 3.55-3.82, 3 Er 3.72-3.75
Er  0.3347  0.5409  0.7897  2 La 3.30-3.47, 3 Y 3.32-3.54
Er  0.6653  0.4591  0.2103  2 La 3.30-3.47, 3 Y 3.32-3.54

M_tot = 0.00 μB per formula unit
N(E_F) = 19.14 states/eV per cell
Energy of formation from the pure elements = 6.29 kJ/mol of atoms



Entry 3:
A geometry-optimized La7Y2Er structure, computed with PBE-GGA.

Cell lengths 3.5451, 10.5165, 10.5165 Å; angles 109.00, 90.00, 90.00 degrees
With the nearest neighbours (Å) after each atom.
Positions (direct):
Er  0.0000  0.0000  0.0000  4 Y 3.34, 2 Er 3.55
La  0.0000  0.3213  0.6787  2 Y 3.21, 8 La 3.54-3.57
La  0.5000  0.1258  0.3850  1 Y 3.18, 2 La 3.55
La  0.0000  0.6787  0.3213  2 Y 3.21, 8 La 3.54-3.57
La  0.5000  0.3850  0.1258  1 Y 3.18, 2 La 3.55
La  0.5000  0.5000  0.5000  10 La 3.54-3.72
La  0.5000  0.8742  0.6150  1 Y 3.18, 2 La 3.55
La  0.5000  0.6150  0.8742  1 Y 3.18, 2 La 3.55
Y  0.5000  0.8348  0.1652  4 La 3.18-3.21, 2 Er 3.34, 2 Y 3.55
Y  0.5000  0.1652  0.8348  4 La 3.18-3.21, 2 Er 3.34, 2 Y 3.55

Energy above the most stable polymorph in this dataset = 1.956 eV/f.u.
M_tot = 0.00 μB per formula unit
N(E_F) = 17.69 states/eV per cell
Energy of formation from the pure elements = 32.98 kJ/mol of atoms